Below is an optimized crystal structure of PrPa2S6, with properties calculated at the PBE level.

Cell and atoms, written as extended XYZ:
```
18
Lattice="-6.867 -1.769 0.938 -1.880 -0.077 8.454 -4.783 7.168 0.867" Properties=species:S:1:pos:R:3 pbc="T T T"
S -7.309 1.804 3.807
S -9.919 3.294 6.229
S -10.013 0.856 8.762
S -3.611 2.028 4.029
S -7.412 -1.639 3.031
S -6.221 3.519 6.452
S -4.633 0.879 0.852
S -5.421 -0.235 5.963
S -8.109 5.558 4.296
S -8.897 4.443 9.407
S -3.517 4.466 1.497
S -6.118 6.961 7.228
Pa -2.386 2.050 1.659
Pa -11.144 3.272 8.600
Pa -5.369 0.041 3.305
Pa -8.161 5.281 6.954
Pr -5.544 4.341 3.599
Pr -7.986 0.981 6.660
```

Values from the calculation:
Volume in Å³/atom: 26.234
SG: C2/c, No. 15
D(E_F) in states/eV/cell: 13.95
Density in g cm⁻³: 5.6
Energy relative to the lowest polymorph listed for this composition in meV per atom: 0

Below is an optimized crystal structure of PrPaS2, with properties calculated at the PBE level.

Cell and atoms, written as extended XYZ:
```
4
Lattice="-2.657 -2.191 0.415 0.751 -1.486 -3.043 4.216 -4.499 3.238" Properties=species:S:1:pos:R:3 pbc="T T T"
Pr 1.155 -4.088 0.305
S 0.979 -1.045 0.752
S 3.237 -3.454 2.485
Pa -0.953 -1.839 -1.314
```

Values from the calculation:
Volume in Å³/atom: 20.950
SG: P4/mmm, No. 123
D(E_F) in states/eV/cell: 5.33
Density in g cm⁻³: 8.6
Energy relative to the lowest polymorph listed for this composition in meV per atom: 340